No. 1
Below is a geometry-optimized Mg3HgPd structure, with properties calculated at the GGA-PBE level.

a b c (Å): 5.0212 5.0212 5.0212
angles (deg): 90.00 90.00 90.00
Closest atoms and distances in Å follow each position.
Sites, in units of the cell vectors:
1 Mg 0.5000 0.0000 0.0000  2 Pd 2.51
2 Mg 0.0000 0.5000 0.0000  2 Pd 2.51
3 Mg 0.0000 0.0000 0.5000  2 Pd 2.51
4 Hg 0.5000 0.5000 0.5000  12 Mg 3.55
5 Pd 0.0000 0.0000 0.0000  6 Mg 2.51

Summary:
**V**: 126.6 Å³/f.u.
**Theoretical density**: 4.984 Mg/m³
**E above lowest polymorph**: 101 kJ/mol of formula units
**ΔH_f (0 K)**: -89 kJ/mol of formula units
**Spin magnetization**: 0.0 μB per formula unit

***

No. 2
Below is a geometry-optimized BaCeGeO5 structure, with properties calculated at the GGA-PBE level.

a b c (Å): 6.2359 6.2359 7.9273
angles (deg): 102.82 102.82 107.48
Closest atoms and distances in Å follow each position.
Sites, in units of the cell vectors:
1 O 0.0753 0.9247 0.2500  2 Ce 2.12
2 O 0.8833 0.3113 0.1191  1 Ge 1.79
3 O 0.6048 0.7522 0.9027  1 Ge 1.79
4 O 0.3952 0.2478 0.0973  1 Ge 1.79
5 O 0.2478 0.3952 0.5973  1 Ge 1.79
6 O 0.6887 0.1167 0.3809  1 Ge 1.79
7 O 0.3113 0.8833 0.6191  1 Ge 1.79
8 O 0.7522 0.6048 0.4027  1 Ge 1.79
9 O 0.9247 0.0753 0.7500  2 Ce 2.12
10 O 0.1167 0.6887 0.8809  1 Ge 1.79
11 Ce 0.0000 0.0000 0.5000  6 O 2.12-2.35
12 Ce 0.0000 0.0000 0.0000  6 O 2.12-2.35
13 Ba 0.3367 0.6633 0.2500  5 O 2.63-2.80
14 Ba 0.6633 0.3367 0.7500  5 O 2.63-2.80
15 Ge 0.6832 0.3168 0.2500  4 O 1.79
16 Ge 0.3168 0.6832 0.7500  4 O 1.79

Summary:
**V**: 136.3 Å³/f.u.
**Theoretical density**: 5.240 Mg/m³
**Total energy**: -7.343 eV per atom
**Spin magnetization**: 0.0 μB per formula unit

***

> What is the formula in the second record?

BaCeGeO5

***

> Look up the theoretical density of the second one.

5.240 Mg/m³